DFT (PBE) results for crystalline LaTbTm6 at its relaxed geometry.

```
LaTbTm6
1.0
4.988 0.000 0.000
0.000 7.018 -0.790
0.000 0.791 7.018
La Tb Tm
1 1 6
Direct
0.500 0.500 0.500 La
0.500 0.000 0.000 Tb
0.500 0.000 0.500 Tm
0.500 0.500 0.000 Tm
0.000 0.247 0.247 Tm
0.000 0.753 0.753 Tm
0.000 0.753 0.247 Tm
0.000 0.247 0.753 Tm
```

Computed properties:
Energy above the most stable polymorph in this dataset ... 0.000 eV per atom
Space-group type ... P4/mmm
Size of the total moment ... 0.0 μB per formula unit
Formation enthalpy at 0 K ... 32 meV/atom

DFT (PBE) results for crystalline La3Tb7Tm at its relaxed geometry.

```
La3Tb7Tm
1.0
-4.263 2.904 -3.844
-3.425 -6.683 -1.885
-5.504 0.018 5.466
La Tb Tm
3 7 1
Direct
0.000 0.821 0.179 La
0.500 0.000 0.000 La
0.000 0.179 0.821 La
0.789 0.241 0.241 Tb
0.736 0.906 0.569 Tb
0.264 0.431 0.094 Tb
0.736 0.569 0.906 Tb
0.000 0.500 0.500 Tb
0.264 0.094 0.431 Tb
0.211 0.759 0.759 Tb
0.500 0.500 0.500 Tm
```

Computed properties:
Energy above the most stable polymorph in this dataset ... 0.061 eV per atom
Space-group type ... P-1
Size of the total moment ... 0.0 μB per formula unit
Formation enthalpy at 0 K ... 230 meV/atom

DFT (PBE) results for crystalline La2Tb5Tm3 at its relaxed geometry.

```
La2Tb5Tm3
1.0
9.642 2.120 -4.633
0.980 8.776 -4.381
-2.982 -2.649 10.635
La Tb Tm
4 10 6
Direct
0.801 0.995 0.750 La
0.199 0.005 0.250 La
0.449 0.755 0.750 La
0.551 0.245 0.250 La
0.249 0.499 0.997 Tb
0.751 0.501 0.003 Tb
0.996 0.746 0.492 Tb
0.532 0.282 0.563 Tb
0.004 0.254 0.508 Tb
0.468 0.718 0.437 Tb
0.823 0.593 0.751 Tb
0.177 0.407 0.249 Tb
0.428 0.158 0.751 Tb
0.572 0.842 0.249 Tb
0.228 0.978 0.957 Tm
0.772 0.022 0.043 Tm
0.704 0.466 0.250 Tm
0.296 0.534 0.750 Tm
0.046 0.784 0.250 Tm
0.954 0.216 0.750 Tm
```

Computed properties:
Energy above the most stable polymorph in this dataset ... 0.000 eV per atom
Space-group type ... C2/c
Size of the total moment ... 0.0 μB per formula unit
Formation enthalpy at 0 K ... 215 meV/atom

DFT (PBE) results for crystalline La3Tb2Tm at its relaxed geometry.

```
La3Tb2Tm
1.0
3.472 0.000 0.000
0.000 6.040 0.000
-1.736 -3.020 9.863
La Tb Tm
3 2 1
Direct
0.000 0.500 0.000 La
0.813 0.813 0.627 La
0.187 0.187 0.373 La
0.637 0.637 0.273 Tb
0.363 0.363 0.727 Tb
0.000 0.000 0.000 Tm
```

Computed properties:
Space-group type ... Immm
Size of the total moment ... 0.0 μB per formula unit
Formation enthalpy at 0 K ... 330 meV/atom

DFT (PBE) results for crystalline La12Tb2Tm5 at its relaxed geometry.

```
La12Tb2Tm5
1.0
11.757 0.000 0.000
-5.878 6.624 0.604
0.000 3.619 8.839
La Tb Tm
12 2 5
Direct
0.095 0.190 0.083 La
0.048 0.568 0.815 La
0.520 0.568 0.815 La
0.154 0.793 0.405 La
0.638 0.793 0.405 La
0.439 0.878 0.778 La
0.561 0.122 0.222 La
0.846 0.207 0.595 La
0.362 0.207 0.595 La
0.952 0.432 0.185 La
0.480 0.432 0.185 La
0.905 0.810 0.917 La
0.714 0.000 0.000 Tb
0.286 0.000 0.000 Tb
0.220 0.440 0.635 Tm
0.303 0.606 0.231 Tm
0.000 0.000 0.500 Tm
0.697 0.394 0.769 Tm
0.780 0.560 0.365 Tm
```

Computed properties:
Space-group type ... C2/m
Size of the total moment ... 0.0 μB per formula unit
Formation enthalpy at 0 K ... 102 meV/atom

DFT (PBE) results for crystalline La9TbTm4 at its relaxed geometry.

```
La9TbTm4
1.0
-4.306 -6.371 8.485
-4.208 -6.133 -6.741
9.288 -1.829 3.340
La Tb Tm
18 2 8
Direct
0.029 0.793 0.586 La
0.029 0.793 0.207 La
0.029 0.414 0.207 La
0.971 0.207 0.414 La
0.971 0.207 0.793 La
0.971 0.586 0.793 La
0.529 0.207 0.414 La
0.529 0.207 0.793 La
0.529 0.586 0.793 La
0.471 0.793 0.586 La
0.471 0.793 0.207 La
0.471 0.414 0.207 La
0.250 0.461 0.923 La
0.250 0.461 0.539 La
0.250 0.077 0.539 La
0.750 0.539 0.077 La
0.750 0.539 0.461 La
0.750 0.923 0.461 La
0.250 0.667 0.333 Tb
0.750 0.333 0.667 Tb
0.250 0.109 0.217 Tm
0.250 0.109 0.891 Tm
0.250 0.783 0.891 Tm
0.750 0.891 0.783 Tm
0.750 0.891 0.109 Tm
0.750 0.217 0.109 Tm
0.000 0.000 0.000 Tm
0.500 0.000 0.000 Tm
```

Computed properties:
Space-group type ... P6_3/mmc
Size of the total moment ... 0.0 μB per formula unit
Formation enthalpy at 0 K ... 143 meV/atom

DFT (PBE) results for crystalline La8TbTm6 at its relaxed geometry.

```
La8TbTm6
1.0
6.654 0.000 0.000
0.000 8.149 -4.705
0.000 0.000 9.410
La Tb Tm
8 1 6
Direct
0.831 0.046 0.294 La
0.831 0.706 0.752 La
0.831 0.248 0.954 La
0.169 0.954 0.706 La
0.169 0.294 0.248 La
0.169 0.752 0.046 La
0.880 0.333 0.667 La
0.120 0.667 0.333 La
0.500 0.000 0.000 Tb
0.651 0.661 0.100 Tm
0.651 0.900 0.562 Tm
0.651 0.438 0.339 Tm
0.349 0.339 0.900 Tm
0.349 0.100 0.438 Tm
0.349 0.562 0.661 Tm
```

Computed properties:
Space-group type ... P-3
Size of the total moment ... 0.0 μB per formula unit
Formation enthalpy at 0 K ... 169 meV/atom

DFT (PBE) results for crystalline La3Tb2Y6Tm at its relaxed geometry.

```
La3Tb2Y6Tm
1.0
6.254 -0.001 0.001
-3.127 5.417 0.001
-1.044 -1.807 11.722
La Tb Y Tm
3 2 6 1
Direct
0.167 0.833 0.500 La
0.833 0.167 0.500 La
0.500 0.500 0.500 La
0.333 0.667 0.000 Tb
0.667 0.333 0.000 Tb
0.919 0.586 0.756 Y
0.748 0.748 0.245 Y
0.081 0.414 0.244 Y
0.586 0.919 0.756 Y
0.252 0.252 0.755 Y
0.414 0.081 0.244 Y
0.000 0.000 0.000 Tm
```

Computed properties:
Space-group type ... C2/m
Size of the total moment ... 0.0 μB per formula unit
Formation enthalpy at 0 K ... 21 meV/atom

DFT (PBE) results for crystalline LaTb6Y2Tm at its relaxed geometry.

```
LaTb6Y2Tm
1.0
-4.342 -8.280 0.311
7.638 -3.717 -2.440
-1.066 1.265 8.682
La Tb Y Tm
2 12 4 2
Direct
0.250 0.959 0.041 La
0.750 0.041 0.959 La
0.060 0.117 0.761 Tb
0.440 0.239 0.883 Tb
0.940 0.883 0.239 Tb
0.560 0.761 0.117 Tb
0.318 0.998 0.450 Tb
0.182 0.550 0.002 Tb
0.682 0.002 0.550 Tb
0.818 0.450 0.998 Tb
0.111 0.709 0.473 Tb
0.389 0.527 0.291 Tb
0.889 0.291 0.527 Tb
0.611 0.473 0.709 Tb
0.444 0.795 0.695 Y
0.056 0.305 0.205 Y
0.556 0.205 0.305 Y
0.944 0.695 0.795 Y
0.250 0.413 0.587 Tm
0.750 0.587 0.413 Tm
```

Computed properties:
Space-group type ... C2/c
Size of the total moment ... 0.0 μB per formula unit
Formation enthalpy at 0 K ... 123 meV/atom

DFT (PBE) results for crystalline La2Tb3Y6Tm at its relaxed geometry.

```
La2Tb3Y6Tm
1.0
-4.740 -2.369 3.264
-0.397 0.431 -6.196
6.335 -10.047 -0.065
La Tb Y Tm
2 3 6 1
Direct
0.334 0.666 0.000 La
0.666 0.334 0.000 La
0.167 0.833 0.500 Tb
0.833 0.167 0.500 Tb
0.500 0.500 0.500 Tb
0.916 0.584 0.747 Y
0.753 0.753 0.253 Y
0.084 0.416 0.253 Y
0.584 0.916 0.747 Y
0.247 0.247 0.747 Y
0.416 0.084 0.253 Y
0.000 0.000 0.000 Tm
```

Computed properties:
Space-group type ... C2/m
Size of the total moment ... 0.0 μB per formula unit
Formation enthalpy at 0 K ... 20 meV/atom

DFT (PBE) results for crystalline LaTb2YTm at its relaxed geometry.

```
LaTb2YTm
1.0
-3.813 -3.324 5.201
-0.751 -6.825 -4.912
5.256 1.281 4.672
La Tb Y Tm
2 4 2 2
Direct
0.250 0.731 0.463 La
0.750 0.269 0.537 La
0.500 0.310 0.000 Tb
0.000 0.690 0.000 Tb
0.500 0.690 0.000 Tb
0.000 0.310 0.000 Tb
0.250 0.002 0.004 Y
0.750 0.998 0.996 Y
0.750 0.718 0.436 Tm
0.250 0.282 0.564 Tm
```

Computed properties:
Space-group type ... Cmcm
Size of the total moment ... 0.0 μB per formula unit
Formation enthalpy at 0 K ... 377 meV/atom

DFT (PBE) results for crystalline La2Tb2YTm2 at its relaxed geometry.

```
La2Tb2YTm2
1.0
-4.868 -0.259 -1.477
1.689 -4.482 4.001
-1.941 5.610 5.417
La Tb Y Tm
2 2 1 2
Direct
0.143 0.285 0.428 La
0.857 0.715 0.572 La
0.571 0.142 0.720 Tb
0.429 0.858 0.280 Tb
0.000 0.000 0.000 Y
0.716 0.431 0.138 Tm
0.284 0.569 0.862 Tm
```

Computed properties:
Space-group type ... C2/m
Size of the total moment ... 0.0 μB per formula unit
Formation enthalpy at 0 K ... 34 meV/atom

DFT (PBE) results for crystalline La2TbY2Tm2 at its relaxed geometry.

```
La2TbY2Tm2
1.0
3.523 0.000 0.000
-1.762 5.648 1.690
0.000 0.439 11.899
La Tb Y Tm
2 1 2 2
Direct
0.671 0.342 0.916 La
0.329 0.658 0.084 La
0.000 0.000 0.500 Tb
0.453 0.905 0.767 Y
0.547 0.095 0.233 Y
0.772 0.543 0.368 Tm
0.228 0.457 0.632 Tm
```

Computed properties:
Space-group type ... C2/m
Size of the total moment ... 0.0 μB per formula unit
Formation enthalpy at 0 K ... 86 meV/atom

DFT (PBE) results for crystalline La6Tb2YTm at its relaxed geometry.

```
La6Tb2YTm
1.0
-2.959 4.583 -7.478
-4.577 -7.312 -2.851
-4.839 5.662 5.203
La Tb Y Tm
12 4 2 2
Direct
0.100 0.064 0.784 La
0.400 0.216 0.936 La
0.900 0.936 0.216 La
0.600 0.784 0.064 La
0.320 0.039 0.477 La
0.180 0.523 0.961 La
0.680 0.961 0.523 La
0.820 0.477 0.039 La
0.088 0.724 0.426 La
0.412 0.574 0.276 La
0.912 0.276 0.574 La
0.588 0.426 0.724 La
0.436 0.793 0.703 Tb
0.064 0.297 0.207 Tb
0.564 0.207 0.297 Tb
0.936 0.703 0.793 Tb
0.250 0.926 0.074 Y
0.750 0.074 0.926 Y
0.250 0.439 0.561 Tm
0.750 0.561 0.439 Tm
```

Computed properties:
Space-group type ... C2/c
Size of the total moment ... 0.0 μB per formula unit
Formation enthalpy at 0 K ... 116 meV/atom

DFT (PBE) results for crystalline LaTbYTm at its relaxed geometry.

```
LaTbYTm
1.0
5.733 0.000 0.000
2.867 4.965 0.000
2.867 1.655 4.681
Y Tm Tb La
1 1 1 1
Direct
0.000 0.000 0.000 Y
0.500 0.500 0.500 Tm
0.750 0.750 0.750 Tb
0.250 0.250 0.250 La
```

Computed properties:
Energy above the most stable polymorph in this dataset ... 0.000 eV per atom
Space-group type ... F-43m
Size of the total moment ... 0.0 μB per formula unit
Formation enthalpy at 0 K ... 102 meV/atom

DFT (PBE) results for crystalline LaTbY6Tm2 at its relaxed geometry.

```
LaTbY6Tm2
1.0
9.056 -1.872 -1.943
0.912 8.561 -1.917
0.912 -2.233 8.484
La Tb Y Tm
2 2 12 4
Direct
0.250 0.964 0.036 La
0.750 0.036 0.964 La
0.250 0.412 0.588 Tb
0.750 0.588 0.412 Tb
0.058 0.117 0.759 Y
0.442 0.241 0.883 Y
0.942 0.883 0.241 Y
0.558 0.759 0.117 Y
0.320 0.992 0.446 Y
0.180 0.554 0.008 Y
0.680 0.008 0.554 Y
0.820 0.446 0.992 Y
0.111 0.707 0.480 Y
0.389 0.520 0.293 Y
0.889 0.293 0.520 Y
0.611 0.480 0.707 Y
0.446 0.799 0.697 Tm
0.054 0.303 0.201 Tm
0.554 0.201 0.303 Tm
0.946 0.697 0.799 Tm
```

Computed properties:
Space-group type ... C2/c
Size of the total moment ... 0.0 μB per formula unit
Formation enthalpy at 0 K ... 120 meV/atom

DFT (PBE) results for crystalline La2Tb2Y6Tm at its relaxed geometry.

```
La2Tb2Y6Tm
1.0
6.109 0.061 0.099
-2.966 5.341 0.099
-0.917 -1.576 11.575
La Tb Y Tm
2 2 6 1
Direct
0.818 0.182 0.000 La
0.182 0.818 0.000 La
0.336 0.664 0.500 Tb
0.664 0.336 0.500 Tb
0.728 0.728 0.753 Y
0.062 0.396 0.742 Y
0.272 0.272 0.247 Y
0.396 0.062 0.742 Y
0.938 0.604 0.258 Y
0.604 0.938 0.258 Y
0.000 0.000 0.500 Tm
```

Computed properties:
Space-group type ... C2/m
Size of the total moment ... 0.0 μB per formula unit
Formation enthalpy at 0 K ... 184 meV/atom

DFT (PBE) results for crystalline LaTb6Y2Tm3 at its relaxed geometry.

```
LaTb6Y2Tm3
1.0
-5.762 2.169 0.320
3.079 -1.338 5.171
5.002 10.594 -1.458
La Tb Y Tm
1 6 2 3
Direct
0.000 0.000 0.000 La
0.914 0.580 0.745 Tb
0.751 0.751 0.255 Tb
0.086 0.420 0.255 Tb
0.580 0.914 0.745 Tb
0.249 0.249 0.745 Tb
0.420 0.086 0.255 Tb
0.333 0.667 0.000 Y
0.667 0.333 0.000 Y
0.167 0.833 0.500 Tm
0.833 0.167 0.500 Tm
0.500 0.500 0.500 Tm
```

Computed properties:
Space-group type ... C2/m
Size of the total moment ... 0.0 μB per formula unit
Formation enthalpy at 0 K ... 24 meV/atom

DFT (PBE) results for crystalline La2Tb3YTm6 at its relaxed geometry.

```
La2Tb3YTm6
1.0
6.168 0.001 0.009
-3.082 5.343 0.009
-1.042 -1.804 11.537
La Tb Y Tm
2 3 1 6
Direct
0.334 0.666 0.000 La
0.666 0.334 0.000 La
0.167 0.833 0.500 Tb
0.833 0.167 0.500 Tb
0.500 0.500 0.500 Tb
0.000 0.000 0.000 Y
0.915 0.582 0.746 Tm
0.753 0.753 0.254 Tm
0.085 0.418 0.254 Tm
0.582 0.915 0.746 Tm
0.247 0.247 0.746 Tm
0.418 0.085 0.254 Tm
```

Computed properties:
Space-group type ... C2/m
Size of the total moment ... 0.0 μB per formula unit
Formation enthalpy at 0 K ... 25 meV/atom

How do the records compare in density of states at the Fermi level? In the order shown, they have 11.6 17.3 17.0 9.9 29.5 23.6 24.1 17.3 14.8 16.5 7.4 11.2 11.6 11.4 6.8 15.9 18.9 16.4 15.2 states/eV/f.u..